Here is an optimized crystal structure of K3HfSc3S8 from Alexandria. Energies are from PBE-GGA.

abc: 7.550 7.549 8.639
angles: 115.92 90.00 120.00
Atoms (fractional coordinates):
K: 0.000 0.500 0.000
S: 0.265 0.038 0.310
S: 0.772 0.545 0.310
S: 0.270 0.540 0.310
S: 0.772 0.038 0.310
S: 0.735 0.962 0.690
S: 0.730 0.460 0.690
Hf: 0.000 0.000 0.500
Sc: 0.500 0.500 0.500
K: 0.500 0.500 0.000
S: 0.228 0.962 0.690
Sc: 0.000 0.500 0.500
S: 0.228 0.455 0.690
Sc: 0.500 0.000 0.500
K: 0.000 0.000 0.000

Calculated values
Formation energy from raw total energies ... -1.75 eV per atom
E ... -6.103 eV per atom

***

Here is an optimized crystal structure of PaTaV from Alexandria. Energies are from PBE-GGA.

abc: 5.277 5.277 5.582
angles: 111.25 111.25 103.49
Atoms (fractional coordinates):
V: 0.171 0.171 0.342
Pa: 0.250 0.750 0.500
Ta: 0.322 0.678 0.000
Ta: 0.678 0.322 0.000
V: 0.829 0.829 0.658
Pa: 0.750 0.250 0.500

Calculated values
Energy relative to the elements ... 836 meV per atom
ΔE to the lowest computed polymorph ... 649 meV per atom
E ... -9.320 eV per atom

***

Here is an optimized crystal structure of CsNbSb2O8 from Alexandria. Energies are from PBE-GGA.

abc: 5.478 5.478 9.798
angles: 90.00 90.00 120.00
Each line ends with the local moment (μB).
Atoms (fractional coordinates):
Cs: 0.000 0.000 0.000  0.00
O: 0.728 0.045 0.380  0.00
O: 0.333 0.667 0.883  0.06
O: 0.272 0.955 0.620  0.00
O: 0.045 0.316 0.620  0.00
Sb: 0.667 0.333 0.306  0.00
O: 0.955 0.684 0.380  0.00
O: 0.316 0.272 0.380  0.00
O: 0.684 0.728 0.620  0.00
O: 0.667 0.333 0.117  0.06
Sb: 0.333 0.667 0.694  0.00
Nb: 0.000 0.000 0.500  0.00

Calculated values
Formation energy from raw total energies ... -1.63 eV per atom
E ... -6.533 eV per atom

***

> Among the records above, which one has the lowest E?

PaTaV

***

> Which of these has the lowest E?

PaTaV

***

> Which of these has the highest E?

K3HfSc3S8

***

> Which value of E does entry 3 give?

-6.533 eV per atom